This record from the Alexandria database describes a relaxed SrAlW2F crystal. The functional is GGA+U.

Results
total DFT energy (no corrections) = -2.293 eV/atom

a b c (Å): 6.262 6.262 6.486
angles (deg): 90.00 90.00 90.00
Sites, in units of the cell vectors:
Sr  0.000  0.000  0.000
Al  0.000  0.000  0.500
W  0.000  0.500  0.000
W  0.500  0.000  0.000
F  0.500  0.500  0.500

---

This record from the Alexandria database describes a relaxed SrAlW2F crystal. The functional is GGA+U.

Results
total DFT energy (no corrections) = -3.630 eV/atom

a b c (Å): 5.047 5.047 6.410
angles (deg): 90.00 90.00 90.00
Sites, in units of the cell vectors:
Sr  0.000  0.000  0.000
Al  0.000  0.000  0.500
W  0.000  0.500  0.500
W  0.500  0.000  0.500
F  0.500  0.500  0.000